[1]
BeNb3Al: relaxed, GGA-PBE.

Results
crystal system: cubic
space-group type: Pm-3m (221)
formation energy from the elements: 321 meV/atom

a = 4.4239 Å, b = 4.4239 Å, c = 4.4239 Å
α = 90.00°, β = 90.00°, γ = 90.00°
With the nearest neighbours (Å) after each atom.
Element x y z (fractional)
Be 0.0000 0.0000 0.0000  6 Nb 2.21
Nb 0.0000 0.0000 0.5000  2 Be 2.21
Nb 0.0000 0.5000 0.0000  2 Be 2.21
Nb 0.5000 0.0000 0.0000  2 Be 2.21
Al 0.5000 0.5000 0.5000  12 Nb 3.13

[2]
Be2NbAl: relaxed, GGA-PBE.

Results
crystal system: trigonal
space-group type: R-3m (166)
formation energy from the elements: -42 meV/atom

a = 4.7163 Å, b = 4.7163 Å, c = 4.7163 Å
α = 46.70°, β = 46.70°, γ = 46.70°
With the nearest neighbours (Å) after each atom.
Element x y z (fractional)
Be 0.2116 0.2116 0.2116  3 Al 2.23, 3 Be 2.44
Be 0.7884 0.7884 0.7884  3 Al 2.23, 3 Be 2.44
Nb 0.0000 0.0000 0.0000  8 Be 2.65-2.66
Al 0.5000 0.5000 0.5000  6 Be 2.23

[3]
Be3Nb2Al: relaxed, GGA-PBE.

Results
crystal system: hexagonal
space-group type: P6_3/mmc (194)
formation energy from the elements: -303 meV/atom

a = 4.7905 Å, b = 4.7905 Å, c = 7.6867 Å
α = 90.00°, β = 90.00°, γ = 120.00°
With the nearest neighbours (Å) after each atom.
Element x y z (fractional)
Be 0.1803 0.3607 0.2500  2 Be 2.20, 2 Al 2.44
Be 0.1803 0.8197 0.2500  2 Be 2.20, 2 Al 2.44
Be 0.3607 0.1803 0.7500  2 Be 2.20, 2 Al 2.44
Be 0.6393 0.8197 0.2500  2 Be 2.20, 2 Al 2.44
Be 0.8197 0.1803 0.7500  2 Be 2.20, 2 Al 2.44
Be 0.8197 0.6393 0.7500  2 Be 2.20, 2 Al 2.44
Nb 0.3333 0.6667 0.5667  9 Be 2.75-2.78, 3 Al 2.81, 4 Nb 2.82-2.95
Nb 0.3333 0.6667 0.9333  9 Be 2.75-2.78, 3 Al 2.81, 4 Nb 2.82-2.95
Nb 0.6667 0.3333 0.0667  9 Be 2.75-2.78, 3 Al 2.81, 4 Nb 2.82-2.95
Nb 0.6667 0.3333 0.4333  9 Be 2.75-2.78, 3 Al 2.81, 4 Nb 2.82-2.95
Al 0.0000 0.0000 0.0000  6 Be 2.44
Al 0.0000 0.0000 0.5000  6 Be 2.44

[4]
BeNbAl2: relaxed, GGA-PBE.

Results
crystal system: trigonal
space-group type: R-3m (166)
formation energy from the elements: 27 meV/atom

a = 4.9640 Å, b = 4.9640 Å, c = 4.9640 Å
α = 46.95°, β = 46.95°, γ = 46.95°
With the nearest neighbours (Å) after each atom.
Element x y z (fractional)
Be 0.0000 0.0000 0.0000  6 Al 2.39
Nb 0.5000 0.5000 0.5000  8 Al 2.73-2.91
Al 0.2797 0.2797 0.2797  3 Be 2.39
Al 0.7203 0.7203 0.7203  3 Be 2.39

[5]
BeNbAl2: relaxed, GGA-PBE.

Results
crystal system: tetragonal
space-group type: P4/mmm (123)
formation energy from the elements: -253 meV/atom

a = 3.8549 Å, b = 3.8549 Å, c = 3.8623 Å
α = 90.00°, β = 90.00°, γ = 90.00°
With the nearest neighbours (Å) after each atom.
Element x y z (fractional)
Be 0.0000 0.0000 0.0000  4 Nb 2.73, 8 Al 2.73
Nb 0.5000 0.5000 0.0000  4 Be 2.73, 8 Al 2.73
Al 0.0000 0.5000 0.5000  4 Al 2.73, 4 Nb 2.73, 4 Be 2.73
Al 0.5000 0.0000 0.5000  4 Al 2.73, 4 Nb 2.73, 4 Be 2.73

[6]
BeNbAl2: relaxed, GGA-PBE.

Results
crystal system: tetragonal
space-group type: I-42d (122)
formation energy from the elements: 114 meV/atom

a = 5.5112 Å, b = 5.5112 Å, c = 5.5112 Å
α = 102.36°, β = 102.36°, γ = 124.88°
With the nearest neighbours (Å) after each atom.
Element x y z (fractional)
Be 0.0000 0.0000 0.0000  4 Al 2.29, 2 Nb 2.55
Be 0.7500 0.2500 0.5000  4 Al 2.29, 2 Nb 2.55
Nb 0.2500 0.7500 0.5000  2 Be 2.55, 4 Al 2.79
Nb 0.5000 0.5000 0.0000  2 Be 2.55, 4 Al 2.79
Al 0.0711 0.6250 0.9461  2 Be 2.29
Al 0.3750 0.3211 0.4461  2 Be 2.29
Al 0.6789 0.1250 0.0539  2 Be 2.29
Al 0.8750 0.9289 0.5539  2 Be 2.29

[7]
Be3NbAl: relaxed, GGA-PBE.

Results
crystal system: cubic
space-group type: Pm-3m (221)
formation energy from the elements: 989 meV/atom

a = 4.0892 Å, b = 4.0892 Å, c = 4.0892 Å
α = 90.00°, β = 90.00°, γ = 90.00°
With the nearest neighbours (Å) after each atom.
Element x y z (fractional)
Be 0.0000 0.0000 0.5000  2 Al 2.04
Be 0.0000 0.5000 0.0000  2 Al 2.04
Be 0.5000 0.0000 0.0000  2 Al 2.04
Nb 0.5000 0.5000 0.5000  12 Be 2.89
Al 0.0000 0.0000 0.0000  6 Be 2.04

[8]
Be3NbAl: relaxed, GGA-PBE.

Results
crystal system: cubic
space-group type: Pm-3m (221)
formation energy from the elements: 1472 meV/atom

a = 4.3975 Å, b = 4.3975 Å, c = 4.3975 Å
α = 90.00°, β = 90.00°, γ = 90.00°
With the nearest neighbours (Å) after each atom.
Element x y z (fractional)
Be 0.0000 0.0000 0.5000  2 Nb 2.20
Be 0.0000 0.5000 0.0000  2 Nb 2.20
Be 0.5000 0.0000 0.0000  2 Nb 2.20
Nb 0.0000 0.0000 0.0000  6 Be 2.20
Al 0.5000 0.5000 0.5000  12 Be 3.11

[9]
BeNbAl3: relaxed, GGA-PBE.

Results
crystal system: cubic
space-group type: Pm-3m (221)
formation energy from the elements: 563 meV/atom

a = 4.2959 Å, b = 4.2959 Å, c = 4.2959 Å
α = 90.00°, β = 90.00°, γ = 90.00°
With the nearest neighbours (Å) after each atom.
Element x y z (fractional)
Be 0.0000 0.0000 0.0000  6 Al 2.15
Nb 0.5000 0.5000 0.5000  12 Al 3.04
Al 0.0000 0.0000 0.5000  2 Be 2.15
Al 0.0000 0.5000 0.0000  2 Be 2.15
Al 0.5000 0.0000 0.0000  2 Be 2.15

[10]
Be16Nb2Al: relaxed, GGA-PBE.

Results
crystal system: trigonal
space-group type: R3m (160)
formation energy from the elements: -181 meV/atom

a = 5.6494 Å, b = 5.6494 Å, c = 5.6494 Å
α = 83.20°, β = 83.20°, γ = 83.20°
With the nearest neighbours (Å) after each atom.
Element x y z (fractional)
Be 0.0447 0.0447 0.0447  6 Be 2.19-2.32, 1 Al 2.26
Be 0.1505 0.1505 0.6646  9 Be 2.14-2.24, 1 Al 2.35
Be 0.1505 0.6646 0.1505  9 Be 2.14-2.24, 1 Al 2.35
Be 0.1546 0.4565 0.8530  8 Be 2.14-2.27
Be 0.1546 0.8530 0.4565  8 Be 2.14-2.27
Be 0.3168 0.8090 0.8090  9 Be 2.12-2.32
Be 0.4565 0.1546 0.8530  8 Be 2.14-2.27
Be 0.4565 0.8530 0.1546  8 Be 2.14-2.27
Be 0.5061 0.5061 0.9878  8 Be 2.12-2.27
Be 0.5061 0.9878 0.5061  8 Be 2.12-2.27
Be 0.6646 0.1505 0.1505  9 Be 2.14-2.24, 1 Al 2.35
Be 0.8090 0.3168 0.8090  9 Be 2.12-2.32
Be 0.8090 0.8090 0.3168  9 Be 2.12-2.32
Be 0.8530 0.1546 0.4565  8 Be 2.14-2.27
Be 0.8530 0.4565 0.1546  8 Be 2.14-2.27
Be 0.9878 0.5061 0.5061  8 Be 2.12-2.27
Nb 0.5008 0.5008 0.5008  15 Be 2.63-2.89, 1 Al 2.70
Nb 0.8128 0.8128 0.8128  13 Be 2.52-2.81
Al 0.2527 0.2527 0.2527  13 Be 2.26-2.50

[11]
BeNbAl3: relaxed, GGA-PBE.

Results
crystal system: cubic
space-group type: Pm-3m (221)
formation energy from the elements: 1284 meV/atom

a = 4.9687 Å, b = 4.9687 Å, c = 4.9687 Å
α = 90.00°, β = 90.00°, γ = 90.00°
With the nearest neighbours (Å) after each atom.
Element x y z (fractional)
Be 0.0000 0.0000 0.0000  12 Al 3.51
Nb 0.5000 0.5000 0.5000  6 Al 2.48
Al 0.0000 0.5000 0.5000  2 Nb 2.48
Al 0.5000 0.0000 0.5000  2 Nb 2.48
Al 0.5000 0.5000 0.0000  2 Nb 2.48

[12]
Be2Nb2AlOs5: relaxed, GGA-PBE.

Results
crystal system: tetragonal
space-group type: P4/mbm (127)
formation energy from the elements: -287 meV/atom

a = 9.3438 Å, b = 9.3438 Å, c = 3.1196 Å
α = 90.00°, β = 90.00°, γ = 90.00°
With the nearest neighbours (Å) after each atom.
Element x y z (fractional)
Be 0.1250 0.3750 0.0000  6 Os 2.27
Be 0.3750 0.8750 0.0000  6 Os 2.27
Be 0.6250 0.1250 0.0000  6 Os 2.27
Be 0.8750 0.6250 0.0000  6 Os 2.27
Nb 0.1752 0.6752 0.0000  3 Be 2.64-2.84, 6 Os 2.79-2.88
Nb 0.3248 0.1752 0.0000  3 Be 2.64-2.84, 6 Os 2.79-2.88
Nb 0.6752 0.8248 0.0000  3 Be 2.64-2.84, 6 Os 2.79-2.88
Nb 0.8248 0.3248 0.0000  3 Be 2.64-2.84, 6 Os 2.79-2.88
Al 0.0000 0.0000 0.0000  8 Os 2.57
Al 0.5000 0.5000 0.0000  8 Os 2.57
Os 0.0000 0.5000 0.5000  4 Be 2.27
Os 0.0682 0.2082 0.5000  2 Be 2.27
Os 0.2082 0.9318 0.5000  2 Be 2.27
Os 0.2918 0.4318 0.5000  2 Be 2.27
Os 0.4318 0.7082 0.5000  2 Be 2.27
Os 0.5000 0.0000 0.5000  4 Be 2.27
Os 0.5682 0.2918 0.5000  2 Be 2.27
Os 0.7082 0.5682 0.5000  2 Be 2.27
Os 0.7918 0.0682 0.5000  2 Be 2.27
Os 0.9318 0.7918 0.5000  2 Be 2.27

no.,uncorrected energy (eV per cell)
1,-36.07
2,-21.43
3,-73.76
4,-21.17
5,-22.29
6,-41.65
7,-20.05
8,-17.63
9,-22.21
10,-86.95
11,-18.60
12,-180.70